VASP calculation (PBE) on a geometry-optimized Pm4Zn3Hg5 structure.

Output
Raw total energy = -54.10 eV/cell

Structure (CIF):
```
data_Pm4Zn3Hg5
_chemical_formula_sum 'Pm8 Zn6 Hg10'
_space_group_name_H-M_alt 'C 1 2/m 1'
_space_group_IT_number 12
_space_group_name_Hall '-C 2y'
_cell_length_a 16.396
_cell_length_b 4.753
_cell_length_c 9.556
_cell_angle_alpha 90.00
_cell_angle_beta 123.19
_cell_angle_gamma 90.00
loop_
_atom_site_label
_atom_site_type_symbol
_atom_site_fract_x
_atom_site_fract_y
_atom_site_fract_z
Pm1 Pm 0.058 0.000 0.236
Pm2 Pm 0.210 0.500 0.728
Zn1 Zn 0.000 0.500 0.500
Zn2 Zn 0.225 0.500 0.421
Hg1 Hg 0.000 0.000 0.500
Hg2 Hg 0.112 0.500 0.062
Hg3 Hg 0.160 0.000 0.890
```